# 1
Material: Dy2Cd3Ag
Method: DFT, PBE-GGA
State: relaxed

Fermi-level density of states: 3.75 states/eV/f.u.
energy of formation from the pure elements: -302.2 meV per atom

a b c (Å): 3.3624 4.9478 8.5675
angles (deg): 90.00 90.00 90.00
With the nearest neighbours (Å) after each atom.
Space group Pmm2 (No. 25)
Inequivalent atoms, fractional coordinates:
Dy (0.0000, 0.0000, 0.0000) [1 per cell]  2 Ag 3.24, 10 Cd 3.28-3.40, 2 Dy 3.36
Dy (0.0000, 0.5000, 0.4808) [1 per cell]  8 Cd 3.24-3.37, 4 Ag 3.28, 2 Dy 3.36
Cd (0.5000, 0.0000, 0.6549) [1 per cell]  1 Ag 2.84, 2 Cd 2.86
Cd (0.5000, 0.5000, 0.1576) [1 per cell]  2 Ag 2.85, 1 Cd 2.88
Cd (0.5000, 0.5000, 0.8217) [1 per cell]  3 Cd 2.86-2.88
Ag (0.5000, 0.0000, 0.3238) [1 per cell]  3 Cd 2.84-2.85

# 2
Material: DyCdAg
Method: DFT, PBE-GGA
State: relaxed

Fermi-level density of states: 3.50 states/eV/f.u.
energy of formation from the pure elements: -137.3 meV per atom

a b c (Å): 6.7991 6.7991 6.7991
angles (deg): 90.00 90.00 90.00
With the nearest neighbours (Å) after each atom.
Space group F-43m (No. 216)
Inequivalent atoms, fractional coordinates:
Dy (0.0000, 0.0000, 0.0000) [4 per cell]  4 Ag 2.94
Cd (0.0000, 0.0000, 0.5000) [4 per cell]  4 Ag 2.94
Ag (0.2500, 0.2500, 0.2500) [4 per cell]  4 Cd 2.94, 4 Dy 2.94

# 3
Material: Dy2Cd3Ag
Method: DFT, PBE-GGA
State: relaxed

Fermi-level density of states: 4.16 states/eV/f.u.
energy of formation from the pure elements: -300.3 meV per atom

a b c (Å): 6.6897 9.8883 17.1709
angles (deg): 90.00 90.00 90.00
With the nearest neighbours (Å) after each atom.
Space group Fmmm (No. 69)
Inequivalent atoms, fractional coordinates:
Dy (0.2475, 0.0000, 0.0000) [8 per cell]  10 Cd 3.29-3.34, 2 Ag 3.31, 2 Dy 3.31-3.38
Dy (0.2500, 0.2500, 0.2500) [8 per cell]  8 Cd 3.30, 4 Ag 3.31, 2 Dy 3.34
Cd (0.0000, 0.0000, 0.3323) [8 per cell]  1 Ag 2.84, 2 Cd 2.87
Cd (0.0000, 0.2483, 0.0840) [16 per cell]  1 Ag 2.84, 2 Cd 2.87-2.89
Ag (0.0000, 0.0000, 0.1670) [8 per cell]  3 Cd 2.84

Number 1: calculated volume 143 Å³/cell. Number 2: calculated volume 314 Å³/cell. Number 3: calculated volume 1136 Å³/cell.